Entry 1:
Entry from Alexandria via LeMat-Bulk: a geometry-optimized MgH2BrN structure (PBE). Values from VASP.

## Properties
- space-group type = Cmcm

Geometry as Quantum ESPRESSO input:
```
&SYSTEM
  ibrav = 0, nat = 10, ntyp = 4
/
ATOMIC_SPECIES
H 1.01 H.upf
Mg 24.30 Mg.upf
N 14.01 N.upf
Br 79.90 Br.upf
CELL_PARAMETERS angstrom
3.380 0.000 0.000
-1.690 5.427 0.000
0.000 0.000 6.654
ATOMIC_POSITIONS angstrom
H 1.690 4.404 6.599
H 0.000 1.024 3.272
H 1.690 4.404 3.382
H 0.000 1.024 0.055
Mg 0.000 5.372 1.664
Mg 1.690 0.055 4.991
N 0.000 0.000 0.000
N 0.000 0.000 3.327
Br 0.000 2.769 1.664
Br 1.690 2.658 4.991
```

***

Entry 2:
Entry from Alexandria via LeMat-Bulk: a geometry-optimized NaMgHBr2 structure (PBE). Values from VASP.

## Properties
- space-group type = P4/mmm

Geometry as Quantum ESPRESSO input:
```
&SYSTEM
  ibrav = 0, nat = 5, ntyp = 4
/
ATOMIC_SPECIES
Mg 24.30 Mg.upf
Br 79.90 Br.upf
H 1.01 H.upf
Na 22.99 Na.upf
CELL_PARAMETERS angstrom
5.431 0.000 0.000
0.000 5.431 0.000
0.000 0.000 3.755
ATOMIC_POSITIONS angstrom
Mg 0.000 0.000 0.000
Br 0.000 2.715 0.000
Br 2.715 0.000 0.000
H 0.000 0.000 1.878
Na 2.715 2.715 1.878
```

***

Ρ
In order: 3.3, 3.1
Unit: g/cm³
E
In order: -4.14, -2.95
Unit: eV per atom